Record 1
As2RuSeF: PBEsol geometry, SCAN.

The structure in POSCAR format:
```
As2RuSeF
1.0
4.228 0.000 0.000
0.000 4.228 0.000
0.000 0.000 4.643
As Ru Se F
2 1 1 1
direct
0.000 0.500 0.000 As
0.500 0.000 0.000 As
0.000 0.000 0.500 Ru
0.500 0.500 0.500 Se
0.500 0.500 0.000 F
```

Computed properties:
**E_form (uncorrected)**: 0.75 eV/atom



Record 2
Cr2WCl: PBEsol geometry, SCAN.

The structure in POSCAR format:
```
Cr2WCl
1.0
-1.742 1.742 4.461
1.742 -1.742 4.461
1.742 1.742 -4.461
Cr W Cl
2 1 1
direct
0.000 0.000 0.000 Cr
0.750 0.250 0.500 Cr
0.500 0.500 0.000 W
0.250 0.750 0.500 Cl
```

Computed properties:
**E_form (uncorrected)**: 0.97 eV/atom
**ΔE to the lowest computed polymorph**: 458 meV/atom



Record 3
LaBe4Fe: PBEsol geometry, SCAN.

The structure in POSCAR format:
```
LaBe4Fe
1.0
0.000 3.328 3.328
3.328 0.000 3.328
3.328 3.328 0.000
La Be Fe
1 4 1
direct
0.000 0.000 0.000 La
0.380 0.380 0.380 Be
0.380 0.380 0.860 Be
0.380 0.860 0.380 Be
0.860 0.380 0.380 Be
0.750 0.750 0.750 Fe
```

Computed properties:
**Calculated formation energy**: 1.7 eV per formula unit